A plane-wave DFT calculation with meta-GGA SCAN was carried out for Ba2ScReBi at its PBEsol-relaxed geometry.

Output
Symmetry: P4/mmm (123)
DFT formation energy (eV per atom): 0.29

Unit cell a=5.100 b=5.689 c=5.689 alpha=90.00 beta=90.00 gamma=90.00
Sites, in units of the cell vectors:
Ba1 0.000 0.000 0.500
Bi1 0.500 0.500 0.500
Ba2 0.000 0.500 0.000
Sc1 0.500 0.000 0.000
Re1 0.000 0.000 0.000

***

A plane-wave DFT calculation with meta-GGA SCAN was carried out for BeZnMo2 at its PBEsol-relaxed geometry.

Output
Symmetry: C2/m (12)
DFT formation energy (eV per atom): 0.13
E above lowest polymorph (meV per atom): 34.3

Unit cell a=2.589 b=4.792 c=4.792 alpha=114.89 beta=94.08 gamma=94.08
Sites, in units of the cell vectors:
Mo1 0.000 0.000 0.500
Mo2 0.000 0.500 0.000
Zn1 0.500 0.500 0.500
Be1 0.500 0.000 0.000

***

A plane-wave DFT calculation with meta-GGA SCAN was carried out for Li2SnHg at its PBEsol-relaxed geometry.

Output
Symmetry: Fm-3m (225)
DFT formation energy (eV per atom): -0.41

Unit cell a=4.679 b=4.679 c=4.679 alpha=60.00 beta=60.00 gamma=60.00
Sites, in units of the cell vectors:
Li1 0.250 0.250 0.250
Sn1 0.000 0.000 0.000
Hg1 0.500 0.500 0.500
Li2 0.750 0.750 0.750